Version a
## SrDy2In (GGA-PBE)

Data for an optimized crystal structure of SrDy2In.

Computed properties:
Space group: P4/mmm, No. 123
ρ (g/cm³): 7.0

Unit cell a=4.9747 b=5.0219 c=5.0219 alpha=90.00 beta=90.00 gamma=90.00
Last column: nearest neighbours and their distance in Å.
Element x y z (fractional)
Dy1 0.0000 0.5000 0.0000  4 In 3.53, 4 Sr 3.53, 4 Dy 3.55
Dy2 0.0000 0.0000 0.5000  4 In 3.53, 4 Sr 3.53, 4 Dy 3.55
Sr1 0.5000 0.5000 0.5000  8 Dy 3.53, 4 In 3.55
In1 0.5000 0.0000 0.0000  8 Dy 3.53, 4 Sr 3.55

Version b
## SrDy2In (GGA-PBE)

Data for an optimized crystal structure of SrDy2In.

Computed properties:
Space group: R3m, No. 160
ρ (g/cm³): 6.0

Unit cell a=5.2652 b=5.2652 c=6.8102 alpha=67.26 beta=67.26 gamma=60.00
Last column: nearest neighbours and their distance in Å.
Element x y z (fractional)
Sr1 0.4902 0.4902 0.5293  4 In 3.58-3.95, 7 Dy 3.68-3.84
In1 0.6859 0.6859 0.9424  6 Dy 3.07-3.32
Dy1 0.2800 0.2800 0.1600  3 In 3.32, 3 Dy 3.52
Dy2 0.0439 0.0439 0.8683  3 In 3.07

Which structure is the most stable? The one labeled version a.

Version a
## Tb2DyIn (GGA-PBE)

Data for an optimized crystal structure of Tb2DyIn.

Computed properties:
Space group: P4/mmm, No. 123
ρ (g/cm³): 8.6

Unit cell a=4.8586 b=4.8552 c=4.8552 alpha=90.00 beta=90.00 gamma=90.00
Last column: nearest neighbours and their distance in Å.
Element x y z (fractional)
Dy1 0.5000 0.5000 0.5000  4 In 3.43, 8 Tb 3.43
Tb1 0.0000 0.0000 0.5000  4 Tb 3.43, 4 In 3.43, 4 Dy 3.43
Tb2 0.0000 0.5000 0.0000  4 Tb 3.43, 4 In 3.43, 4 Dy 3.43
In1 0.5000 0.0000 0.0000  4 Dy 3.43, 8 Tb 3.43

Version b
## Tb2DyIn (GGA-PBE)

Data for an optimized crystal structure of Tb2DyIn.

Computed properties:
Space group: P4/mmm, No. 123
ρ (g/cm³): 8.3

Unit cell a=3.5805 b=3.5805 c=9.2586 alpha=90.00 beta=90.00 gamma=90.00
Last column: nearest neighbours and their distance in Å.
Element x y z (fractional)
Dy1 0.5000 0.5000 0.5000  8 Tb 3.57, 4 Dy 3.58
Tb1 0.0000 0.0000 0.2275  4 In 3.29, 4 Dy 3.57, 4 Tb 3.58
Tb2 0.0000 0.0000 0.7725  4 In 3.29, 4 Dy 3.57, 4 Tb 3.58
In1 0.5000 0.5000 0.0000  8 Tb 3.29, 4 In 3.58

Version c
## Tb2DyIn (GGA-PBE)

Data for an optimized crystal structure of Tb2DyIn.

Computed properties:
Space group: R3m, No. 160
ρ (g/cm³): 8.1

Unit cell a=3.6069 b=3.6069 c=11.0324 alpha=80.59 beta=80.59 gamma=60.00
Last column: nearest neighbours and their distance in Å.
Element x y z (fractional)
Tb1 0.2551 0.2551 0.2348  3 In 3.28, 3 Dy 3.55, 6 Tb 3.61
Tb2 0.0784 0.0784 0.7647  3 In 3.30, 3 Dy 3.55, 6 Tb 3.61
In1 0.6664 0.6664 0.0007  6 Tb 3.28-3.30, 6 In 3.61
Dy1 0.5001 0.5001 0.4998  6 Tb 3.55, 6 Dy 3.61

Version d
## Tb2DyIn (GGA-PBE)

Data for an optimized crystal structure of Tb2DyIn.

Computed properties:
Space group: Fm-3m, No. 225
ρ (g/cm³): 8.6

Unit cell a=5.4603 b=5.4603 c=5.4603 alpha=60.00 beta=60.00 gamma=60.00
Last column: nearest neighbours and their distance in Å.
Element x y z (fractional)
Dy1 0.0000 0.0000 0.0000  8 Tb 3.34
Tb1 0.2500 0.2500 0.2500  4 In 3.34, 4 Dy 3.34
Tb2 0.7500 0.7500 0.7500  4 Dy 3.34, 4 In 3.34
In1 0.5000 0.5000 0.5000  8 Tb 3.34

Which structure is the most stable? The one labeled version a.

Version a
## TbDy2In2 (GGA-PBE)

Data for an optimized crystal structure of TbDy2In2.

Computed properties:
Space group: Cmc2_1, No. 36
ρ (g/cm³): 8.5

Unit cell a=5.3694 b=6.5121 c=8.4553 alpha=90.00 beta=108.51 gamma=90.00
Last column: nearest neighbours and their distance in Å.
Element x y z (fractional)
Tb1 0.5972 0.5806 0.1944  4 In 3.17-3.54, 2 Dy 3.52
Tb2 0.4028 0.0806 0.8056  4 In 3.17-3.54, 2 Dy 3.52
Dy1 0.1982 0.8490 0.3964  6 In 3.04-3.40
Dy2 0.9735 0.7766 0.9470  3 In 3.05-3.25, 2 Dy 3.36
Dy3 0.0265 0.2766 0.0530  3 In 3.05-3.25, 2 Dy 3.36
Dy4 0.8018 0.3490 0.6036  6 In 3.04-3.40
In1 0.7865 0.8608 0.5729  5 Dy 3.04-3.34, 1 In 3.24
In2 0.2135 0.3608 0.4271  5 Dy 3.04-3.34, 1 In 3.24
In3 0.3970 0.5674 0.7940  3 Tb 3.17-3.34, 1 In 3.24, 4 Dy 3.25-3.40
In4 0.6030 0.0674 0.2060  3 Tb 3.17-3.34, 1 In 3.24, 4 Dy 3.25-3.40

Version b
## TbDy2In2 (GGA-PBE)

Data for an optimized crystal structure of TbDy2In2.

Computed properties:
Space group: P2_1/m, No. 11
ρ (g/cm³): 8.5

Unit cell a=3.7455 b=5.3492 c=14.0154 alpha=90.00 beta=97.69 gamma=90.00
Last column: nearest neighbours and their distance in Å.
Element x y z (fractional)
Tb1 0.8520 0.7500 0.7021  6 In 3.27-3.33, 2 Dy 3.62
Tb2 0.1480 0.2500 0.2979  6 In 3.27-3.33, 2 Dy 3.62
Dy1 0.9521 0.2500 0.9042  8 In 3.24-3.30
Dy2 0.7631 0.2500 0.5261  2 In 3.20, 4 Dy 3.34
Dy3 0.2369 0.7500 0.4739  2 In 3.20, 4 Dy 3.34
Dy4 0.0479 0.7500 0.0958  8 In 3.24-3.30
In1 0.6426 0.7500 0.2867  4 Dy 3.20-3.25, 4 Tb 3.27
In2 0.5497 0.2500 0.0995  6 Dy 3.27-3.30, 2 Tb 3.33
In3 0.3574 0.2500 0.7133  4 Dy 3.20-3.25, 4 Tb 3.27
In4 0.4503 0.7500 0.9005  6 Dy 3.27-3.30, 2 Tb 3.33

Which structure is the most stable? The one labeled version b.

Version a
## Tb2Dy8In (GGA-PBE)

Data for an optimized crystal structure of Tb2Dy8In.

Computed properties:
Space group: Immm, No. 71
ρ (g/cm³): 8.2

Unit cell a=5.4039 b=7.5562 c=9.7434 alpha=112.81 beta=106.10 gamma=90.00
Last column: nearest neighbours and their distance in Å.
Element x y z (fractional)
Dy1 0.3626 0.5931 0.7253  1 In 3.11, 2 Tb 3.36, 3 Dy 3.46-3.48
Dy2 0.6374 0.4069 0.2747  1 In 3.11, 2 Tb 3.36, 3 Dy 3.46-3.48
Dy3 0.3626 0.1322 0.7253  1 In 3.11, 2 Tb 3.36, 3 Dy 3.46-3.48
Dy4 0.0000 0.7403 0.0000  2 In 3.34, 7 Dy 3.58-3.66
Dy5 0.1802 0.1802 0.3604  4 Tb 3.46-3.79, 8 Dy 3.46-3.66
Dy6 0.6374 0.8678 0.2747  1 In 3.11, 2 Tb 3.36, 3 Dy 3.46-3.48
Dy7 0.0000 0.2597 0.0000  2 In 3.34, 7 Dy 3.58-3.66
Dy8 0.8198 0.8198 0.6396  4 Tb 3.46-3.79, 8 Dy 3.46-3.66
Tb1 0.8065 0.3065 0.6130  8 Dy 3.36-3.54
Tb2 0.1935 0.6935 0.3870  8 Dy 3.36-3.54
In1 0.5000 0.0000 0.0000  8 Dy 3.11-3.34

Version b
## Tb2Dy8In (GGA-PBE)

Data for an optimized crystal structure of Tb2Dy8In.

Computed properties:
Space group: C2/m, No. 12
ρ (g/cm³): 8.4

Unit cell a=5.5314 b=6.4299 c=10.0515 alpha=85.34 beta=105.97 gamma=90.00
Last column: nearest neighbours and their distance in Å.
Element x y z (fractional)
Tb1 0.2429 0.6647 0.4858  9 Dy 3.41-3.81, 2 Tb 3.48
Tb2 0.7571 0.3353 0.5142  9 Dy 3.41-3.81, 2 Tb 3.48
Dy1 0.0443 0.7364 0.0885  2 In 3.32, 4 Dy 3.53-3.67
Dy2 0.5788 0.4037 0.1576  1 In 3.12, 3 Dy 3.19-3.35, 1 Tb 3.44
Dy3 0.9557 0.2636 0.9115  2 In 3.32, 4 Dy 3.53-3.67
Dy4 0.8466 0.8066 0.6931  5 Dy 3.35-3.57, 4 Tb 3.58-3.68
Dy5 0.3385 0.1215 0.6769  1 In 3.15, 2 Tb 3.41, 2 Dy 3.42
Dy6 0.1534 0.1934 0.3069  5 Dy 3.35-3.57, 4 Tb 3.58-3.68
Dy7 0.6615 0.8785 0.3231  1 In 3.15, 2 Tb 3.41, 2 Dy 3.42
Dy8 0.4212 0.5963 0.8424  1 In 3.12, 3 Dy 3.19-3.35, 1 Tb 3.44
In1 0.5000 0.0000 0.0000  8 Dy 3.12-3.32

Which structure is the most stable? The one labeled version b.

Version a
## Tb6Dy3In (GGA-PBE)

Data for an optimized crystal structure of Tb6Dy3In.

Computed properties:
Space group: P2_1/m, No. 11
ρ (g/cm³): 8.3

Unit cell a=3.5446 b=12.8661 c=16.0642 alpha=121.35 beta=90.00 gamma=90.00
Last column: nearest neighbours and their distance in Å.
Element x y z (fractional)
Dy1 0.7500 0.1241 0.0922  4 Tb 3.24-3.58, 4 Dy 3.50-3.54
Dy2 0.7500 0.6186 0.4957  7 Tb 3.37-3.70, 4 Dy 3.54-3.59
Dy3 0.2500 0.6118 0.1023  1 In 3.28, 7 Tb 3.28-3.62, 4 Dy 3.52-3.54
Dy4 0.2500 0.8759 0.9078  4 Tb 3.24-3.58, 4 Dy 3.50-3.54
Dy5 0.2500 0.3814 0.5043  7 Tb 3.37-3.70, 4 Dy 3.54-3.59
Dy6 0.7500 0.3882 0.8977  1 In 3.28, 7 Tb 3.28-3.62, 4 Dy 3.52-3.54
Tb1 0.2500 0.1395 0.8918  2 In 3.48, 5 Dy 3.53-3.77, 6 Tb 3.54-3.61
Tb2 0.7500 0.6650 0.3075  2 In 3.33, 3 Dy 3.37-3.48, 7 Tb 3.45-3.69
Tb3 0.7500 0.8605 0.1082  2 In 3.48, 5 Dy 3.53-3.77, 6 Tb 3.54-3.61
Tb4 0.7500 0.5974 0.7107  7 Tb 3.42-3.69, 5 Dy 3.50-3.77
Tb5 0.7500 0.3801 0.0986  4 Dy 3.24-3.44, 7 Tb 3.42-3.61
Tb6 0.2500 0.4026 0.2893  7 Tb 3.42-3.69, 5 Dy 3.50-3.77
Tb7 0.7500 0.8792 0.7157  1 In 3.25, 3 Dy 3.38-3.58, 7 Tb 3.54-3.61
Tb8 0.2500 0.3350 0.6925  2 In 3.33, 3 Dy 3.37-3.48, 7 Tb 3.45-3.69
Tb9 0.2500 0.8871 0.5231  3 In 3.35-3.50, 6 Tb 3.54-3.61, 2 Dy 3.70
Tb10 0.2500 0.6199 0.9014  4 Dy 3.24-3.44, 7 Tb 3.42-3.61
Tb11 0.7500 0.1129 0.4769  3 In 3.35-3.50, 6 Tb 3.54-3.61, 2 Dy 3.70
Tb12 0.2500 0.1208 0.2843  1 In 3.25, 3 Dy 3.38-3.58, 7 Tb 3.54-3.61
In1 0.7500 0.1193 0.6974  8 Tb 3.25-3.50, 1 Dy 3.28, 2 In 3.54
In2 0.2500 0.8807 0.3026  8 Tb 3.25-3.50, 1 Dy 3.28, 2 In 3.54

Version b
## Tb6Dy3In (GGA-PBE)

Data for an optimized crystal structure of Tb6Dy3In.

Computed properties:
Space group: P2_1/m, No. 11
ρ (g/cm³): 8.3

Unit cell a=3.4883 b=12.7633 c=14.1997 alpha=100.42 beta=90.00 gamma=90.00
Last column: nearest neighbours and their distance in Å.
Element x y z (fractional)
Tb1 0.2500 0.1901 0.9232  5 Dy 3.31-3.65, 5 Tb 3.46-3.52, 2 In 3.61
Tb2 0.2500 0.2264 0.2863  3 Dy 3.23-3.43, 1 In 3.29, 5 Tb 3.49-3.57
Tb3 0.2500 0.8866 0.5320  2 In 3.48, 8 Tb 3.49-3.78, 2 Dy 3.68
Tb4 0.2500 0.5098 0.3092  4 Dy 3.29-3.47, 7 Tb 3.49-3.61
Tb5 0.7500 0.3408 0.1169  4 Dy 3.38-3.55, 8 Tb 3.49-3.61
Tb6 0.2500 0.2484 0.6941  2 In 3.34, 1 Dy 3.43, 5 Tb 3.46-3.55
Tb7 0.7500 0.8099 0.0768  5 Dy 3.31-3.65, 5 Tb 3.46-3.52, 2 In 3.61
Tb8 0.2500 0.6592 0.8831  4 Dy 3.38-3.55, 8 Tb 3.49-3.61
Tb9 0.7500 0.1134 0.4680  2 In 3.48, 8 Tb 3.49-3.78, 2 Dy 3.68
Tb10 0.7500 0.7516 0.3059  2 In 3.34, 1 Dy 3.43, 5 Tb 3.46-3.55
Tb11 0.7500 0.7736 0.7137  3 Dy 3.23-3.43, 1 In 3.29, 5 Tb 3.49-3.57
Tb12 0.7500 0.4902 0.6908  4 Dy 3.29-3.47, 7 Tb 3.49-3.61
In1 0.2500 0.9669 0.2767  7 Tb 3.29-3.61, 2 Dy 3.47, 2 In 3.49
In2 0.7500 0.0331 0.7233  7 Tb 3.29-3.61, 2 Dy 3.47, 2 In 3.49
Dy1 0.7500 0.0726 0.1043  6 Tb 3.31-3.65, 2 In 3.47, 4 Dy 3.49-3.64
Dy2 0.7500 0.6293 0.5023  5 Tb 3.23-3.47, 2 Dy 3.49
Dy3 0.2500 0.5781 0.0970  6 Tb 3.29-3.55, 4 Dy 3.49-3.55
Dy4 0.7500 0.4219 0.9030  6 Tb 3.29-3.55, 4 Dy 3.49-3.55
Dy5 0.2500 0.9274 0.8957  6 Tb 3.31-3.65, 2 In 3.47, 4 Dy 3.49-3.64
Dy6 0.2500 0.3707 0.4977  5 Tb 3.23-3.47, 2 Dy 3.49

Which structure is the most stable? The one labeled version a.

Version a
## Tb5DyIn2 (GGA-PBE)

Data for an optimized crystal structure of Tb5DyIn2.

Computed properties:
Space group: Pbam, No. 55
ρ (g/cm³): 8.6

Unit cell a=4.8458 b=6.8750 c=13.7511 alpha=90.00 beta=90.00 gamma=90.00
Last column: nearest neighbours and their distance in Å.
Element x y z (fractional)
Tb1 0.0000 0.5000 0.5000  6 Tb 3.43-3.44, 4 In 3.43, 2 Dy 3.44
Tb2 0.0000 0.0000 0.0000  6 Tb 3.43-3.44, 4 In 3.43, 2 Dy 3.44
Tb3 0.0000 0.9999 0.2503  4 In 3.43-3.44, 7 Tb 3.43-3.44, 1 Dy 3.43
Tb4 0.5000 0.2501 0.8752  2 Dy 3.43, 6 Tb 3.43-3.44, 4 In 3.43-3.44
Tb5 0.5000 0.7499 0.1248  2 Dy 3.43, 6 Tb 3.43-3.44, 4 In 3.43-3.44
Tb6 0.0000 0.5001 0.7503  4 In 3.43-3.44, 7 Tb 3.43-3.44, 1 Dy 3.43
Tb7 0.0000 0.0001 0.7497  4 In 3.43-3.44, 7 Tb 3.43-3.44, 1 Dy 3.43
Tb8 0.0000 0.4999 0.2497  4 In 3.43-3.44, 7 Tb 3.43-3.44, 1 Dy 3.43
Tb9 0.5000 0.7501 0.6248  2 Dy 3.43, 6 Tb 3.43-3.44, 4 In 3.43-3.44
Tb10 0.5000 0.2499 0.3752  2 Dy 3.43, 6 Tb 3.43-3.44, 4 In 3.43-3.44
Dy1 0.0000 0.0000 0.5000  4 In 3.43, 8 Tb 3.43-3.44
Dy2 0.0000 0.5000 0.0000  4 In 3.43, 8 Tb 3.43-3.44
In1 0.5000 0.7504 0.3752  2 Dy 3.43, 10 Tb 3.43-3.44
In2 0.5000 0.2496 0.6248  2 Dy 3.43, 10 Tb 3.43-3.44
In3 0.5000 0.2504 0.1248  2 Dy 3.43, 10 Tb 3.43-3.44
In4 0.5000 0.7496 0.8752  2 Dy 3.43, 10 Tb 3.43-3.44

Version b
## Tb5DyIn2 (GGA-PBE)

Data for an optimized crystal structure of Tb5DyIn2.

Computed properties:
Space group: Immm, No. 71
ρ (g/cm³): 8.2

Unit cell a=3.5566 b=8.4596 c=8.4596 alpha=77.65 beta=77.87 gamma=77.87
Last column: nearest neighbours and their distance in Å.
Element x y z (fractional)
Tb1 0.6344 0.5923 0.1389  3 In 3.18-3.41, 7 Tb 3.41-3.56
Tb2 0.3656 0.8611 0.4077  3 In 3.18-3.41, 7 Tb 3.41-3.56
Tb3 0.3656 0.4077 0.8611  3 In 3.18-3.41, 7 Tb 3.41-3.56
Tb4 0.6344 0.1389 0.5923  3 In 3.18-3.41, 7 Tb 3.41-3.56
Tb5 0.0000 0.5000 0.5000  2 In 3.34, 10 Tb 3.44-3.56
Dy1 0.0000 0.0000 0.0000  4 In 3.49, 2 Dy 3.56, 8 Tb 3.80
In1 0.2632 0.2368 0.2368  7 Tb 3.18-3.41, 2 Dy 3.49, 2 In 3.56
In2 0.7368 0.7632 0.7632  7 Tb 3.18-3.41, 2 Dy 3.49, 2 In 3.56

Which structure is the most stable? The one labeled version a.